(1)
Entry from the Alexandria database: a relaxed structure of LaEr6Sc2 (PBE).

a = 12.0934 Å, b = 14.3928 Å, c = 6.3916 Å
α = 90.00°, β = 102.01°, γ = 90.00°
Last column: nearest neighbours and their distance in Å.
Space group C2/c (No. 15)
Symmetry-distinct sites (fractional):
La: 0.0000 0.0949 0.2500 (multiplicity 4)  10 Er 3.36-3.73
Er: 0.0495 0.3117 0.0185 (multiplicity 8)  3 Sc 3.28-3.49, 6 Er 3.39-3.64, 1 La 3.56
Er: 0.1579 0.1039 0.8072 (multiplicity 8)  2 Sc 3.28-3.44, 3 Er 3.38-3.64, 1 La 3.42
Er: 0.2356 0.3223 0.6885 (multiplicity 8)  2 Sc 3.25-3.33, 6 Er 3.26-3.46, 1 La 3.36
Sc: 0.1268 0.4862 0.3600 (multiplicity 8)  3 Sc 3.10-3.22, 6 Er 3.25-3.44

energy relative to the lowest polymorph listed for this composition: 41 meV per atom
energy of formation from the pure elements: 0.1093 eV/atom

(2)
Entry from the Alexandria database: a relaxed structure of CdGaAu4 (PBE).

a = 4.8840 Å, b = 5.2032 Å, c = 9.3277 Å
α = 105.68°, β = 103.11°, γ = 90.11°
Last column: nearest neighbours and their distance in Å.
Space group P-1 (No. 2)
Symmetry-distinct sites (fractional):
Cd: 0.2502 0.1820 0.0014 (multiplicity 2)  10 Au 2.96-3.05, 2 Cd 3.08-3.09
Ga: 0.0000 0.5000 0.5000 (multiplicity 1)  8 Au 2.69-2.96
Ga: 0.5000 0.0000 0.5000 (multiplicity 1)  8 Au 2.66-2.96
Au: 0.0997 0.0181 0.6608 (multiplicity 2)  3 Ga 2.69-2.96, 4 Au 2.89-2.94, 1 Cd 2.97
Au: 0.1750 0.5884 0.8281 (multiplicity 2)  1 Ga 2.89, 7 Au 2.93-3.05, 4 Cd 2.96-3.05
Au: 0.3260 0.7624 0.1727 (multiplicity 2)  1 Ga 2.89, 7 Au 2.92-3.05, 4 Cd 2.96-3.01
Au: 0.4001 0.3584 0.3408 (multiplicity 2)  3 Ga 2.66-2.96, 4 Au 2.87-2.95, 1 Cd 2.96

energy relative to the lowest polymorph listed for this composition: 0 meV per atom
energy of formation from the pure elements: -0.1286 eV/atom

(3)
Entry from the Alexandria database: a relaxed structure of HgHPtAu2 (PBE).

a = 4.5909 Å, b = 4.5909 Å, c = 3.6305 Å
α = 90.00°, β = 90.00°, γ = 90.00°
Last column: nearest neighbours and their distance in Å.
Space group P4/mmm (No. 123)
Symmetry-distinct sites (fractional):
Hg: 0.0000 0.0000 0.0000 (multiplicity 1)  8 Au 2.93, 4 Pt 3.25
H: 0.5000 0.5000 0.5000 (multiplicity 1)  2 Pt 1.82
Pt: 0.5000 0.5000 0.0000 (multiplicity 1)  2 H 1.82
Au: 0.0000 0.5000 0.5000 (multiplicity 2)  2 H 2.30

total DFT energy (no corrections): -3.122 eV per atom